Entry from OQMD via LeMat-Bulk: TmAgGeTe2Se after structural relaxation (GGA-PBE).

Cell: 7.455 7.455 10.371 Å, 90.00 90.00 147.32°
Atoms (fractional coordinates):
Se 0.405 0.595 0.750
Tm 0.500 0.500 0.500
Te 0.846 0.154 0.442
Tm 0.500 0.500 0.000
Ge 0.745 0.255 0.750
Te 0.154 0.846 0.558
Ag 0.019 0.981 0.750
Te 0.846 0.154 0.058
Se 0.595 0.405 0.250
Ag 0.981 0.019 0.250
Te 0.154 0.846 0.942
Ge 0.255 0.745 0.250

Calculated values
E_tot   -50.2 eV/cell